--- w ---
## BaW2Br2 (GGA-PBE)

Data for BaW2Br2 after structural relaxation.

abc: 5.121 5.121 10.892
angles: 90.00 90.00 90.00
Space group I4/mmm (No. 139)
One atom of each set of equivalent atoms:
Ba  0.000  0.000  0.000 x2
W  0.000  0.000  0.402 x4
Br  0.000  0.500  0.250 x4

Summary:
Density: 7.73 g/cm3
Total magnetic moment: 0.000 μB per atom
Volume: 285.6 Å³ per cell

--- x ---
## BaW2Br2 (GGA-PBE)

Data for BaW2Br2 after structural relaxation.

abc: 8.980 8.980 3.182
angles: 90.00 90.00 90.00
Space group P4/mbm (No. 127)
One atom of each set of equivalent atoms:
Ba  0.000  0.000  0.000 x2
W  0.094  0.406  0.000 x4
Br  0.237  0.737  0.500 x4

Summary:
Density: 8.60 g/cm3
Total magnetic moment: 0.000 μB per atom
Volume: 256.7 Å³ per cell

Energy ordering: w at the bottom, the next structure 0.427 eV/atom above.

--- w ---
## Ba2YBr (GGA-PBE)

Data for Ba2YBr after structural relaxation.

abc: 4.646 6.566 11.140
angles: 90.00 90.00 90.00
Space group Cmmm (No. 65)
One atom of each set of equivalent atoms:
Ba  0.000  0.000  0.225 x4
Y  0.000  0.500  0.500 x2
Br  0.000  0.500  0.000 x2

Summary:
Density: 4.33 g/cm3
Total magnetic moment: 0.000 μB per atom
Volume: 339.8 Å³ per cell

--- x ---
## Ba2YBr (GGA-PBE)

Data for Ba2YBr after structural relaxation.

abc: 4.047 5.822 7.406
angles: 90.00 90.00 90.00
Space group Pmm2 (No. 25)
One atom of each set of equivalent atoms:
Ba  0.000  0.000  0.000 x1
Ba  0.500  0.500  0.421 x1
Y  0.500  0.500  0.917 x1
Br  0.000  0.000  0.449 x1

Summary:
Density: 4.22 g/cm3
Total magnetic moment: 0.004 μB per atom
Volume: 174.5 Å³ per cell

Energy ordering: w at the bottom, the next structure 0.229 eV/atom above.

--- w ---
## Ba2YBr (GGA-PBE)

Data for Ba2YBr after structural relaxation.

abc: 4.149 7.318 12.404
angles: 90.00 90.00 90.00
Space group Immm (No. 71)
One atom of each set of equivalent atoms:
Ba  0.000  0.000  0.207 x4
Y  0.000  0.500  0.000 x2
Br  0.000  0.500  0.500 x2

Summary:
Density: 3.91 g/cm3
Total magnetic moment: 0.446 μB per atom
Volume: 376.6 Å³ per cell

--- x ---
## Ba2YBr (GGA-PBE)

Data for Ba2YBr after structural relaxation.

abc: 13.936 3.886 6.721
angles: 90.00 112.38 90.00
Space group Cm (No. 8)
One atom of each set of equivalent atoms:
Ba  0.000  0.000  0.000 x2
Ba  0.189  0.000  0.658 x2
Y  0.418  0.000  0.440 x2
Br  0.263  0.500  0.126 x2

Summary:
Density: 4.38 g/cm3
Total magnetic moment: 0.000 μB per atom
Volume: 336.6 Å³ per cell

Energy ordering: x at the bottom, the next structure 0.148 eV/atom above.

--- w ---
## Ba2YBr (GGA-PBE)

Data for Ba2YBr after structural relaxation.

abc: 4.280 5.743 7.344
angles: 90.00 90.00 90.00
Space group Pmmm (No. 47)
One atom of each set of equivalent atoms:
Ba  0.000  0.000  0.000 x1
Ba  0.500  0.000  0.500 x1
Y  0.000  0.500  0.500 x1
Br  0.500  0.500  0.000 x1

Summary:
Density: 4.08 g/cm3
Total magnetic moment: 0.202 μB per atom
Volume: 180.5 Å³ per cell

--- x ---
## Ba2YBr (GGA-PBE)

Data for Ba2YBr after structural relaxation.

abc: 3.973 3.973 10.666
angles: 90.00 90.00 90.00
Space group P4/mmm (No. 123)
One atom of each set of equivalent atoms:
Ba  0.000  0.000  0.222 x2
Y  0.500  0.500  0.500 x1
Br  0.500  0.500  0.000 x1

Summary:
Density: 4.37 g/cm3
Total magnetic moment: 0.200 μB per atom
Volume: 168.4 Å³ per cell

--- y ---
## Ba2YBr (GGA-PBE)

Data for Ba2YBr after structural relaxation.

abc: 5.599 5.599 11.062
angles: 90.00 90.00 90.00
Space group I4/mmm (No. 139)
One atom of each set of equivalent atoms:
Ba  0.000  0.500  0.250 x4
Y  0.000  0.000  0.000 x2
Br  0.000  0.000  0.500 x2

Summary:
Density: 4.25 g/cm3
Total magnetic moment: 0.666 μB per atom
Volume: 346.8 Å³ per cell

--- z ---
## Ba2YBr (GGA-PBE)

Data for Ba2YBr after structural relaxation.

abc: 9.223 9.259 3.943
angles: 90.00 90.00 90.00
Space group Cmmm (No. 65)
One atom of each set of equivalent atoms:
Ba  0.250  0.250  0.000 x4
Y  0.000  0.000  0.500 x2
Br  0.000  0.500  0.500 x2

Summary:
Density: 4.37 g/cm3
Total magnetic moment: 0.000 μB per atom
Volume: 336.7 Å³ per cell

Energy ordering: x at the bottom, the next structure 0.169 eV/atom above.

--- w ---
## Ba2YBr (GGA-PBE)

Data for Ba2YBr after structural relaxation.

abc: 4.994 4.994 14.721
angles: 90.00 90.00 90.00
Space group I-4m2 (No. 119)
One atom of each set of equivalent atoms:
Ba  0.000  0.000  0.000 x2
Ba  0.000  0.500  0.250 x2
Y  0.000  0.000  0.500 x2
Br  0.000  0.500  0.750 x2

Summary:
Density: 4.01 g/cm3
Total magnetic moment: 0.376 μB per atom
Volume: 367.1 Å³ per cell

--- x ---
## Ba2YBr (GGA-PBE)

Data for Ba2YBr after structural relaxation.

abc: 4.154 6.700 6.700
angles: 90.00 90.08 90.00
Space group Pm (No. 6)
One atom of each set of equivalent atoms:
Ba  0.000  0.000  0.000 x1
Ba  0.001  0.500  0.498 x1
Y  0.500  0.000  0.500 x1
Br  0.005  0.500  0.998 x1

Summary:
Density: 3.95 g/cm3
Total magnetic moment: 0.001 μB per atom
Volume: 186.5 Å³ per cell

Energy ordering: x at the bottom, the next structure 0.204 eV/atom above.

--- w ---
## BaY2Br (GGA-PBE)

Data for BaY2Br after structural relaxation.

abc: 3.8601 3.8601 32.6295
angles: 90.00 90.00 120.00
Space group R3m (No. 160, hexagonal axes)
One atom of each set of equivalent atoms:
Ba  0.0000  0.0000  0.0000 x3
Y  0.0000  0.0000  0.2305 x3
Y  0.0000  0.0000  0.4815 x3
Br  0.0000  0.0000  0.7493 x3

Summary:
Density: 4.67 g/cm3
Total magnetic moment: 0.000 μB per atom
Volume: 421.1 Å³ per cell

--- x ---
## BaY2Br (GGA-PBE)

Data for BaY2Br after structural relaxation.

abc: 12.212 3.686 6.891
angles: 90.00 105.77 90.00
Space group Cm (No. 8)
One atom of each set of equivalent atoms:
Ba  0.000  0.000  0.000 x2
Y  0.058  0.500  0.513 x2
Y  0.313  0.500  0.408 x2
Br  0.244  0.000  0.749 x2

Summary:
Density: 4.39 g/cm3
Total magnetic moment: 0.000 μB per atom
Volume: 298.5 Å³ per cell

--- y ---
## BaY2Br (GGA-PBE)

Data for BaY2Br after structural relaxation.

abc: 3.817 6.868 5.655
angles: 90.00 90.51 90.00
Space group P2/m (No. 10)
One atom of each set of equivalent atoms:
Ba  0.000  0.000  0.000 x1
Y  0.279  0.500  0.760 x2
Br  0.500  0.000  0.500 x1

Summary:
Density: 4.43 g/cm3
Total magnetic moment: 0.000 μB per atom
Volume: 148.2 Å³ per cell

Energy ordering: w at the bottom, the next structure 0.248 eV/atom above.

--- w ---
## BaY2Br (GGA-PBE)

Data for BaY2Br after structural relaxation.

abc: 3.619 5.916 12.802
angles: 90.00 90.00 90.00
Space group Immm (No. 71)
One atom of each set of equivalent atoms:
Ba  0.000  0.000  0.000 x2
Y  0.000  0.500  0.212 x4
Br  0.000  0.000  0.500 x2

Summary:
Density: 4.79 g/cm3
Total magnetic moment: 0.000 μB per atom
Volume: 274.1 Å³ per cell

--- x ---
## BaY2Br (GGA-PBE)

Data for BaY2Br after structural relaxation.

abc: 8.331 8.331 8.331
angles: 90.00 90.00 90.00
Space group F-43m (No. 216)
One atom of each set of equivalent atoms:
Ba  0.000  0.000  0.000 x4
Y  0.000  0.000  0.500 x4
Y  0.250  0.250  0.750 x4
Br  0.250  0.250  0.250 x4

Summary:
Density: 4.54 g/cm3
Total magnetic moment: 0.544 μB per atom
Volume: 578.3 Å³ per cell

Energy ordering: w at the bottom, the next structure 0.497 eV/atom above.

--- w ---
## BaY2Br (GGA-PBE)

Data for BaY2Br after structural relaxation.

abc: 3.625 3.625 10.313
angles: 90.00 90.00 90.00
Space group P4/mmm (No. 123)
One atom of each set of equivalent atoms:
Ba  0.000  0.000  0.000 x1
Y  0.500  0.500  0.297 x2
Br  0.000  0.000  0.500 x1

Summary:
Density: 4.84 g/cm3
Total magnetic moment: 0.000 μB per atom
Volume: 135.5 Å³ per cell

--- x ---
## BaY2Br (GGA-PBE)

Data for BaY2Br after structural relaxation.

abc: 6.009 6.009 3.780
angles: 90.00 90.00 90.00
Space group P4/mmm (No. 123)
One atom of each set of equivalent atoms:
Ba  0.000  0.000  0.000 x1
Y  0.000  0.500  0.500 x2
Br  0.500  0.500  0.000 x1

Summary:
Density: 4.81 g/cm3
Total magnetic moment: 0.000 μB per atom
Volume: 136.5 Å³ per cell

--- y ---
## BaY2Br (GGA-PBE)

Data for BaY2Br after structural relaxation.

abc: 3.736 3.736 10.107
angles: 90.00 90.00 90.00
Space group P4mm (No. 99)
One atom of each set of equivalent atoms:
Ba  0.000  0.000  0.000 x1
Y  0.000  0.000  0.461 x1
Y  0.500  0.500  0.692 x1
Br  0.500  0.500  0.245 x1

Summary:
Density: 4.65 g/cm3
Total magnetic moment: 0.001 μB per atom
Volume: 141.0 Å³ per cell

Energy ordering: y at the bottom, the next structure 0.277 eV/atom above.